ScCd7: single point on PBEsol structure, meta-GGA SCAN.

Calculated values
Its total magnetic moment is 0.00 μB per cell. As for the space group: Cmcm. The value obtained for the excess energy over the best structure of this formula in the dataset is 0 meV/atom.

abc: 6.128 6.128 9.212
angles: 90.00 90.00 107.73
Atoms (fractional coordinates):
Sc (0.022, 0.978, 0.750)
Sc (0.978, 0.022, 0.250)
Cd (0.098, 0.497, 0.750)
Cd (0.211, 0.789, 0.017)
Cd (0.211, 0.789, 0.483)
Cd (0.288, 0.288, 0.000)
Cd (0.288, 0.288, 0.500)
Cd (0.414, 0.586, 0.250)
Cd (0.497, 0.098, 0.250)
Cd (0.503, 0.902, 0.750)
Cd (0.586, 0.414, 0.750)
Cd (0.712, 0.712, 0.000)
Cd (0.712, 0.712, 0.500)
Cd (0.789, 0.211, 0.517)
Cd (0.789, 0.211, 0.983)
Cd (0.902, 0.503, 0.250)